(1)
Below is an optimized crystal structure of La2AlReN, with properties calculated at the PBE-GGA level.

Cell: 5.3057 5.3057 3.9025 Å, 90.00 90.00 90.00°
Fractional coordinates of all 5 atoms:
La  0.0000  0.5000  0.0000
La  0.5000  0.0000  0.0000
Al  0.0000  0.0000  0.5000
Re  0.5000  0.5000  0.5000
N  0.5000  0.5000  0.0000

## Properties
total moment: 0.00 Bohr magnetons per cell
SG: P4/mmm (123)
ΔE_f (raw): -0.509 eV/atom



(2)
Below is an optimized crystal structure of LaAlRe2N, with properties calculated at the PBE-GGA level.

Cell: 4.4238 4.4238 5.7565 Å, 90.00 90.00 90.00°
Fractional coordinates of all 5 atoms:
La  0.0000  0.0000  0.0000
Al  0.0000  0.0000  0.5000
Re  0.0000  0.5000  0.5000
Re  0.5000  0.0000  0.5000
N  0.5000  0.5000  0.0000

## Properties
total moment: 0.00 Bohr magnetons per cell
SG: P4/mmm (123)
ΔE_f (raw): 2.121 eV/atom



(3)
Below is an optimized crystal structure of LaAlSN2, with properties calculated at the PBE-GGA level.

Cell: 4.1548 4.1548 6.0929 Å, 90.00 90.00 90.00°
Fractional coordinates of all 5 atoms:
La  0.0000  0.0000  0.0000
Al  0.5000  0.5000  0.5000
S  0.0000  0.0000  0.5000
N  0.0000  0.5000  0.0000
N  0.5000  0.0000  0.0000

## Properties
excess energy over the best structure of this formula in the dataset: 1298 meV per atom
total moment: 0.00 Bohr magnetons per cell
SG: P4/mmm (123)
ΔE_f (raw): 0.703 eV/atom



(4)
Below is an optimized crystal structure of LaAlSN2, with properties calculated at the PBE-GGA level.

Cell: 3.9431 3.9431 4.8121 Å, 90.00 90.00 90.00°
Fractional coordinates of all 5 atoms:
La  0.0000  0.0000  0.0000
Al  0.5000  0.5000  0.5000
S  0.5000  0.5000  0.0000
N  0.0000  0.5000  0.5000
N  0.5000  0.0000  0.5000

## Properties
excess energy over the best structure of this formula in the dataset: 0 meV per atom
total moment: 0.29 Bohr magnetons per cell
SG: P4/mmm (123)
ΔE_f (raw): -0.595 eV/atom



(5)
Below is an optimized crystal structure of La4AlSbN, with properties calculated at the PBE-GGA level.

Cell: 9.0052 9.0052 7.0470 Å, 90.00 90.00 133.92°
Fractional coordinates of all 14 atoms:
La  0.0000  0.5000  0.0000
La  0.0000  0.5000  0.5000
La  0.0829  0.9171  0.7500
La  0.4116  0.5884  0.7500
La  0.5000  0.0000  0.0000
La  0.5000  0.0000  0.5000
La  0.5884  0.4116  0.2500
La  0.9171  0.0829  0.2500
Al  0.1143  0.8857  0.2500
Al  0.8857  0.1143  0.7500
Sb  0.3912  0.6088  0.2500
Sb  0.6088  0.3912  0.7500
N  0.2469  0.7531  0.7500
N  0.7531  0.2469  0.2500

## Properties
total moment: 0.00 Bohr magnetons per cell
SG: Cmcm (63)
ΔE_f (raw): -0.834 eV/atom



(6)
Below is an optimized crystal structure of LaSc2AlN, with properties calculated at the PBE-GGA level.

Cell: 4.5346 4.5346 4.9992 Å, 90.00 90.00 90.00°
Fractional coordinates of all 5 atoms:
La  0.0000  0.0000  0.0000
Sc  0.0000  0.5000  0.5000
Sc  0.5000  0.0000  0.5000
Al  0.5000  0.5000  0.0000
N  0.0000  0.0000  0.5000

## Properties
total moment: 0.00 Bohr magnetons per cell
SG: P4/mmm (123)
ΔE_f (raw): -0.839 eV/atom



(7)
Below is an optimized crystal structure of La2ScAlN, with properties calculated at the PBE-GGA level.

Cell: 5.1596 5.1596 4.4118 Å, 90.00 90.00 90.00°
Fractional coordinates of all 5 atoms:
La  0.0000  0.5000  0.0000
La  0.5000  0.0000  0.0000
Sc  0.0000  0.0000  0.5000
Al  0.5000  0.5000  0.5000
N  0.0000  0.0000  0.0000

## Properties
total moment: 0.00 Bohr magnetons per cell
SG: P4/mmm (123)
ΔE_f (raw): -0.803 eV/atom



(8)
Below is an optimized crystal structure of LaAlSe2N, with properties calculated at the PBE-GGA level.

Cell: 5.1159 5.1159 3.7902 Å, 90.00 90.00 90.00°
Fractional coordinates of all 5 atoms:
La  0.0000  0.0000  0.0000
Al  0.5000  0.5000  0.5000
Se  0.0000  0.5000  0.5000
Se  0.5000  0.0000  0.5000
N  0.5000  0.5000  0.0000

## Properties
excess energy over the best structure of this formula in the dataset: 0 meV per atom
total moment: 1.00 Bohr magnetons per cell
SG: P4/mmm (123)
ΔE_f (raw): -0.853 eV/atom



(9)
Below is an optimized crystal structure of LaAlSeN2, with properties calculated at the PBE-GGA level.

Cell: 4.1829 4.1829 6.4019 Å, 90.00 90.00 90.00°
Fractional coordinates of all 5 atoms:
La  0.0000  0.0000  0.0000
Al  0.5000  0.5000  0.5000
Se  0.0000  0.0000  0.5000
N  0.0000  0.5000  0.0000
N  0.5000  0.0000  0.0000

## Properties
excess energy over the best structure of this formula in the dataset: 1013 meV per atom
total moment: 0.00 Bohr magnetons per cell
SG: P4/mmm (123)
ΔE_f (raw): 0.647 eV/atom



(10)
Below is an optimized crystal structure of LaAlSe2N, with properties calculated at the PBE-GGA level.

Cell: 5.9475 5.9475 4.2749 Å, 90.00 90.00 90.00°
Fractional coordinates of all 5 atoms:
La  0.0000  0.0000  0.0000
Al  0.5000  0.5000  0.5000
Se  0.0000  0.5000  0.0000
Se  0.5000  0.0000  0.0000
N  0.0000  0.0000  0.5000

## Properties
excess energy over the best structure of this formula in the dataset: 1092 meV per atom
total moment: 2.03 Bohr magnetons per cell
SG: P4/mmm (123)
ΔE_f (raw): 0.239 eV/atom



(11)
Below is an optimized crystal structure of LaAlSeN2, with properties calculated at the PBE-GGA level.

Cell: 4.0271 4.0271 5.0073 Å, 90.00 90.00 90.00°
Fractional coordinates of all 5 atoms:
La  0.0000  0.0000  0.0000
Al  0.5000  0.5000  0.5000
Se  0.5000  0.5000  0.0000
N  0.0000  0.5000  0.5000
N  0.5000  0.0000  0.5000

## Properties
excess energy over the best structure of this formula in the dataset: 0 meV per atom
total moment: 0.42 Bohr magnetons per cell
SG: P4/mmm (123)
ΔE_f (raw): -0.366 eV/atom



(12)
Below is an optimized crystal structure of La2SmAlN, with properties calculated at the PBE-GGA level.

Cell: 5.0745 5.0745 4.9656 Å, 90.00 90.00 90.00°
Fractional coordinates of all 5 atoms:
La  0.0000  0.5000  0.0000
La  0.5000  0.0000  0.0000
Sm  0.0000  0.0000  0.5000
Al  0.5000  0.5000  0.5000
N  0.0000  0.0000  0.0000

## Properties
total moment: 0.00 Bohr magnetons per cell
SG: P4/mmm (123)
ΔE_f (raw): -0.770 eV/atom